(i)
This record from the Open Quantum Materials Database describes crystalline YRePd at its relaxed geometry. The functional is PBE.

abc: 4.5939 4.5939 4.5939
angles: 60.00 60.00 60.00
Last column: nearest neighbours and their distance in Å.
Fractional positions:
Pd 0.2500 0.2500 0.2500  4 Y 2.81
Re 0.7500 0.7500 0.7500  4 Y 2.81
Y 0.0000 0.0000 0.0000  4 Pd 2.81, 4 Re 2.81

Computed properties:
theoretical density	9242	kg/m³
volume	22.85	Å³ per atom
symmetry	F-43m

=====

(ii)
This record from the Open Quantum Materials Database describes crystalline YRePd at its relaxed geometry. The functional is PBE.

abc: 4.4930 4.4930 4.4930
angles: 60.00 60.00 60.00
Last column: nearest neighbours and their distance in Å.
Fractional positions:
Pd 0.2500 0.2500 0.2500  4 Re 2.75
Re 0.0000 0.0000 0.0000  4 Y 2.75, 4 Pd 2.75
Y 0.7500 0.7500 0.7500  4 Re 2.75

Computed properties:
theoretical density	9878	kg/m³
volume	21.38	Å³ per atom
symmetry	F-43m

=====

Stability summary: most stable (ii), least stable (i).

=====

(i)
This record from the Open Quantum Materials Database describes crystalline TmTlPdS3 at its relaxed geometry. The functional is PBE.

abc: 7.9968 3.9604 10.0568
angles: 90.00 108.54 90.00
Last column: nearest neighbours and their distance in Å.
Fractional positions:
Pd 0.0874 0.7500 0.0894  4 S 2.34-2.56
Pd 0.9126 0.2500 0.9106  4 S 2.34-2.56
S 0.2339 0.2500 0.0694  3 Pd 2.34-2.56
S 0.0756 0.7500 0.3332  1 Pd 2.48, 2 Tm 2.70
S 0.5502 0.7500 0.3634  3 Tm 2.65-2.74
S 0.4498 0.2500 0.6366  3 Tm 2.65-2.74
S 0.9244 0.2500 0.6668  1 Pd 2.48, 2 Tm 2.70
S 0.7661 0.7500 0.9306  3 Pd 2.34-2.56
Tl 0.7421 0.2500 0.2193  4 S 3.13-3.23
Tl 0.2579 0.7500 0.7807  4 S 3.13-3.23
Tm 0.3125 0.2500 0.3595  6 S 2.65-2.78
Tm 0.6875 0.7500 0.6405  6 S 2.65-2.78

Computed properties:
theoretical density	6334	kg/m³
volume	25.16	Å³ per atom
symmetry	P2_1/m

=====

(ii)
This record from the Open Quantum Materials Database describes crystalline TmTlPdS3 at its relaxed geometry. The functional is PBE.

abc: 7.5801 7.5801 10.0239
angles: 90.00 90.00 150.18
Last column: nearest neighbours and their distance in Å.
Fractional positions:
Pd 0.0113 0.9887 0.2500  4 S 2.39-2.41
Pd 0.9887 0.0113 0.7500  4 S 2.39-2.41
S 0.1197 0.8803 0.0687  1 Pd 2.41
S 0.4167 0.5833 0.2500  2 Pd 2.39
S 0.1197 0.8803 0.4313  1 Pd 2.41
S 0.8803 0.1197 0.5687  1 Pd 2.41
S 0.5833 0.4167 0.7500  2 Pd 2.39
S 0.8803 0.1197 0.9313  1 Pd 2.41
Tl 0.7414 0.2586 0.2500  6 S 3.21-3.22
Tl 0.2586 0.7414 0.7500  6 S 3.21-3.22
Tm 0.5000 0.5000 0.0000  6 S 2.71-2.79
Tm 0.5000 0.5000 0.5000  6 S 2.71-2.79

Computed properties:
theoretical density	6679	kg/m³
volume	23.87	Å³ per atom
symmetry	Cmcm

=====

Stability summary: most stable (i), least stable (ii).